[1]
Pr3Mg2In7 (PBE, optimized geometry); ΔH_f (0 K) = -326 meV/atom; magnetization = 0.00 μB per formula unit; DOS(E_F) = 0.552 states/eV per atom
1.0
-1.303 -1.376 -4.100
4.093 -2.343 -0.515
-8.349 -11.186 6.407
Pr Mg In
3 2 7
Cartesian
1.395 -1.859 -2.307 Pr
-0.815 -6.191 -0.152 Pr
-4.745 -8.714 1.944 Pr
-2.512 -10.110 4.191 Mg
-1.744 -3.419 1.702 Mg
-5.254 -10.303 5.127 In
-1.399 -7.928 3.105 In
0.000 0.000 0.000 In
0.998 -3.227 0.765 In
-1.657 -2.660 -1.069 In
-3.902 -12.245 2.861 In
-2.857 -5.601 2.787 In

[2]
HoZnB (PBE, optimized geometry); ΔH_f (0 K) = -238 meV/atom; magnetization = 0.00 μB per formula unit; DOS(E_F) = 0.544 states/eV per atom
1.0
-2.160 -3.130 -0.026
2.304 0.688 4.016
-5.388 3.710 0.943
Ho Zn B
2 2 2
Cartesian
-4.070 2.795 1.601 Ho
-1.174 -1.528 3.333 Ho
-2.183 1.478 3.398 Zn
-3.062 -0.211 1.536 Zn
-1.324 -1.403 0.714 B
-3.920 2.670 4.219 B

[3]
Pr2ScCuSe5 (PBE, optimized geometry); E_form (uncorrected) = -1.566 eV/atom; magnetization = 0.00 μB per formula unit; DOS(E_F) = 0.002 states/eV per atom
1.0
-2.414 0.553 -3.195
-0.182 -8.929 1.150
-9.472 1.140 7.352
Pr Sc Cu Se
4 2 2 10
Cartesian
-9.909 -5.283 4.014 Pr
-6.828 -1.131 4.962 Pr
-3.274 -1.819 2.159 Pr
-4.072 -6.246 -0.561 Pr
-6.909 -4.470 1.888 Sc
-0.644 -3.310 -0.086 Sc
-10.434 0.173 5.354 Cu
-5.497 -6.945 2.951 Cu
-0.994 -6.078 -0.301 Se
-9.824 -2.085 4.503 Se
-8.785 -7.751 5.295 Se
-7.094 -4.210 4.630 Se
-7.770 -6.918 2.115 Se
-6.374 -1.724 1.959 Se
-4.199 -4.916 2.322 Se
-3.871 0.585 0.468 Se
-3.359 -3.221 -0.577 Se
-0.701 -0.752 0.400 Se